# Pr2B13

A relaxed structure of Pr2B13 (PBE, the Open Quantum Materials Database). Values from VASP.

Spin magnetization   0.454 Bohr magnetons per cell
VASP energy   -6.027 eV/atom

Cell and atoms, written as Quantum ESPRESSO input:
```
&SYSTEM
  ibrav = 0, nat = 15, ntyp = 2
/
ATOMIC_SPECIES
B 10.81 B.upf
Pr 140.91 Pr.upf
ATOMIC_POSITIONS angstrom
B -2.8701 -1.4970 1.7728
B -0.1403 1.8721 3.1775
B -4.1411 -1.0542 2.7244
B -1.2429 2.5229 4.2158
B -4.3750 0.9751 6.1634
B -5.6371 1.6603 6.9725
B -4.1810 2.0456 3.2187
B -2.7250 2.4309 -0.5350
B -3.9871 3.1162 0.2741
B -4.2210 5.1454 3.7131
B -7.1192 1.5684 2.2217
B -8.2218 2.2191 3.2600
B -5.4920 5.5882 4.6647
Pr -2.3370 1.1434 1.7991
Pr -6.0251 2.9479 4.6384
CELL_PARAMETERS angstrom
-4.3780 -2.6735 2.6455
0.1530 2.9186 4.9771
-4.1371 3.8461 -1.1851
```